Record 1
Here is TaPt2Rh after structural relaxation from Alexandria via LeMat-Bulk. Energies are from PBE.

Lattice parameters (Å, degrees): 2.8040 2.8040 8.0370 90.00 90.00 90.00
Last column: nearest neighbours and their distance in Å.
Space group P4mm (No. 99)
Asymmetric unit:
Ta1 0.0000 0.0000 0.0000 [1 per cell]  4 Rh 2.75, 4 Ta 2.80, 4 Pt 2.82
Pt1 0.0000 0.0000 0.5107 [1 per cell]  8 Pt 2.80-2.89, 4 Rh 2.84
Pt2 0.5000 0.5000 0.2499 [1 per cell]  8 Pt 2.80-2.89, 4 Ta 2.82
Rh1 0.5000 0.5000 0.7632 [1 per cell]  4 Ta 2.75, 4 Rh 2.80, 4 Pt 2.84



Record 2
Here is Ta2PtRh after structural relaxation from Alexandria via LeMat-Bulk. Energies are from PBE.

Lattice parameters (Å, degrees): 5.6862 8.0155 2.8391 90.00 90.00 90.00
Last column: nearest neighbours and their distance in Å.
Space group Cmmm (No. 65)
Asymmetric unit:
Ta1 0.2500 0.2500 0.0000 [4 per cell]  4 Rh 2.84, 4 Pt 2.84, 4 Ta 2.84
Pt1 0.0000 0.0000 0.5000 [2 per cell]  8 Ta 2.84, 2 Pt 2.84, 2 Rh 2.84
Rh1 0.0000 0.5000 0.5000 [2 per cell]  8 Ta 2.84, 2 Rh 2.84, 2 Pt 2.84



Record 3
Here is Ta5PtRh4 after structural relaxation from Alexandria via LeMat-Bulk. Energies are from PBE.

Lattice parameters (Å, degrees): 2.8633 2.8633 19.5869 90.00 90.00 90.00
Last column: nearest neighbours and their distance in Å.
Space group P4/mmm (No. 123)
Asymmetric unit:
Ta1 0.0000 0.0000 0.0000 [1 per cell]  8 Rh 2.80, 4 Ta 2.86
Ta2 0.0000 0.0000 0.1977 [2 per cell]  8 Rh 2.80-2.81, 4 Ta 2.86
Ta3 0.0000 0.0000 0.3950 [2 per cell]  4 Rh 2.79, 4 Ta 2.86, 4 Pt 2.89
Pt1 0.5000 0.5000 0.5000 [1 per cell]  4 Pt 2.86, 8 Ta 2.89
Rh1 0.5000 0.5000 0.0986 [2 per cell]  8 Ta 2.80, 4 Rh 2.86
Rh2 0.5000 0.5000 0.2969 [2 per cell]  8 Ta 2.79-2.81, 4 Rh 2.86



Record 4
Here is TaPt2Rh2 after structural relaxation from Alexandria via LeMat-Bulk. Energies are from PBE.

Summary:
Energy relative to the lowest polymorph listed for this composition: 0.0000 eV/atom

Lattice parameters (Å, degrees): 8.8207 3.9536 8.8121 90.00 90.04 90.00
Last column: nearest neighbours and their distance in Å.
Space group C2/m (No. 12)
Asymmetric unit:
Ta1 0.2460 0.0000 0.2488 [4 per cell]  6 Pt 2.75-2.81, 6 Rh 2.77-2.82
Pt1 0.0500 0.0000 0.8503 [4 per cell]  3 Ta 2.75-2.81, 7 Rh 2.78-2.79, 2 Pt 2.78-2.79
Pt2 0.1508 0.0000 0.5499 [4 per cell]  4 Pt 2.78-2.80, 3 Ta 2.78-2.81, 5 Rh 2.79-2.81
Rh1 0.0500 0.5000 0.3474 [4 per cell]  3 Ta 2.77-2.82, 2 Rh 2.77-2.83, 7 Pt 2.78-2.81
Rh2 0.1502 0.5000 0.0497 [4 per cell]  4 Rh 2.77-2.79, 3 Ta 2.77-2.79, 5 Pt 2.79



Record 5
Here is Ta2PtRh after structural relaxation from Alexandria via LeMat-Bulk. Energies are from PBE.

Lattice parameters (Å, degrees): 3.9566 3.9566 8.3612 90.00 90.00 90.00
Last column: nearest neighbours and their distance in Å.
Space group I-4m2 (No. 119)
Asymmetric unit:
Ta1 0.0000 0.0000 0.0000 [2 per cell]  4 Pt 2.80, 4 Ta 2.88, 4 Rh 2.88
Ta2 0.0000 0.5000 0.2500 [2 per cell]  4 Rh 2.80, 4 Ta 2.88, 4 Pt 2.88
Pt1 0.0000 0.0000 0.5000 [2 per cell]  8 Ta 2.80-2.88, 4 Rh 2.88
Rh1 0.0000 0.5000 0.7500 [2 per cell]  8 Ta 2.80-2.88, 4 Pt 2.88



Record 6
Here is TaPt2Rh after structural relaxation from Alexandria via LeMat-Bulk. Energies are from PBE.

Lattice parameters (Å, degrees): 3.9653 3.9653 7.9342 90.00 90.00 90.00
Last column: nearest neighbours and their distance in Å.
Space group I-4m2 (No. 119)
Asymmetric unit:
Ta1 0.0000 0.0000 0.0000 [2 per cell]  8 Pt 2.80, 4 Rh 2.80
Pt1 0.0000 0.0000 0.5000 [2 per cell]  4 Ta 2.80, 4 Rh 2.80, 4 Pt 2.80
Pt2 0.0000 0.5000 0.2500 [2 per cell]  4 Rh 2.80, 4 Ta 2.80, 4 Pt 2.80
Rh1 0.0000 0.5000 0.7500 [2 per cell]  8 Pt 2.80, 4 Ta 2.80



Record 7
Here is Ta2PtRh after structural relaxation from Alexandria via LeMat-Bulk. Energies are from PBE.

Lattice parameters (Å, degrees): 9.3570 2.8786 4.9619 90.00 99.45 90.00
Last column: nearest neighbours and their distance in Å.
Space group Cm (No. 8)
Asymmetric unit:
Ta1 0.0000 0.0000 0.0000 [2 per cell]  3 Rh 2.68-2.74, 4 Pt 2.82-2.92, 3 Ta 2.88-2.97
Ta2 0.2404 0.0000 0.6751 [2 per cell]  3 Pt 2.69-2.75, 4 Rh 2.84-2.90, 3 Ta 2.88-2.97
Pt1 0.4940 0.0000 0.4872 [2 per cell]  7 Ta 2.69-2.92, 2 Pt 2.88, 3 Rh 2.93-3.00
Rh1 0.2459 0.5000 0.1836 [2 per cell]  7 Ta 2.68-2.90, 2 Rh 2.88, 3 Pt 2.93-3.00



Record 8
Here is TaPtRh4 after structural relaxation from Alexandria via LeMat-Bulk. Energies are from PBE.

Summary:
Energy relative to the lowest polymorph listed for this composition: 0.0000 eV/atom

Lattice parameters (Å, degrees): 8.1969 10.3074 5.1394 90.00 122.95 90.00
Last column: nearest neighbours and their distance in Å.
Space group C2/c (No. 15)
Asymmetric unit:
Ta1 0.0000 0.1892 0.2500 [4 per cell]  8 Rh 2.55-2.78, 3 Pt 2.69-2.84
Pt1 0.0000 0.0719 0.7500 [4 per cell]  3 Ta 2.69-2.84, 8 Rh 2.71-2.91, 2 Pt 2.97
Rh1 0.1650 0.3216 0.7492 [8 per cell]  2 Ta 2.55-2.75, 6 Rh 2.62-2.81, 1 Pt 2.77
Rh2 0.1747 0.4226 0.2659 [8 per cell]  6 Rh 2.64-2.86, 2 Pt 2.71-2.91, 2 Ta 2.72-2.78



Record 9
Here is TaPt2Rh after structural relaxation from Alexandria via LeMat-Bulk. Energies are from PBE.

Lattice parameters (Å, degrees): 7.2221 7.2221 5.3387 90.00 90.00 90.00
Last column: nearest neighbours and their distance in Å.
Space group I-42d (No. 122)
Asymmetric unit:
Ta1 0.0000 0.0000 0.0000 [4 per cell]  4 Pt 2.55, 2 Rh 2.67
Pt1 0.2318 0.2500 0.1250 [8 per cell]  2 Ta 2.55, 2 Pt 2.68, 2 Rh 2.73
Rh1 0.0000 0.0000 0.5000 [4 per cell]  2 Ta 2.67, 4 Pt 2.73



Record 10
Here is Ta6PtRh5 after structural relaxation from Alexandria via LeMat-Bulk. Energies are from PBE.

Lattice parameters (Å, degrees): 4.0214 7.8266 12.2258 90.00 90.00 90.00
Last column: nearest neighbours and their distance in Å.
Space group Immm (No. 71)
Asymmetric unit:
Ta1 0.0000 0.2449 0.0000 [4 per cell]  6 Rh 2.78-2.84, 2 Pt 2.83, 4 Ta 2.87
Ta2 0.0000 0.2525 0.3329 [8 per cell]  7 Rh 2.79-2.82, 1 Pt 2.84, 4 Ta 2.86-2.87
Pt1 0.0000 0.0000 0.5000 [2 per cell]  8 Ta 2.83-2.84, 4 Rh 2.85
Rh1 0.0000 0.0000 0.1678 [4 per cell]  8 Ta 2.79-2.82, 4 Rh 2.86-2.87
Rh2 0.0000 0.5000 0.1653 [4 per cell]  8 Ta 2.82-2.84, 2 Pt 2.85, 2 Rh 2.86
Rh3 0.0000 0.5000 0.5000 [2 per cell]  8 Ta 2.78-2.82, 4 Rh 2.87



Record 11
Here is TaPt4Rh after structural relaxation from Alexandria via LeMat-Bulk. Energies are from PBE.

Summary:
Energy relative to the lowest polymorph listed for this composition: 0.0000 eV/atom

Lattice parameters (Å, degrees): 4.8754 8.4439 4.8388 90.00 109.93 90.00
Last column: nearest neighbours and their distance in Å.
Space group C2/m (No. 12)
Asymmetric unit:
Ta1 0.0000 0.0000 0.0000 [2 per cell]  2 Rh 2.79, 10 Pt 2.79-2.83
Pt1 0.0000 0.1647 0.5000 [4 per cell]  7 Pt 2.78-2.83, 2 Ta 2.79, 3 Rh 2.81-2.83
Pt2 0.0000 0.3356 0.0000 [4 per cell]  7 Pt 2.78-2.83, 2 Rh 2.79, 3 Ta 2.81-2.83
Rh1 0.0000 0.5000 0.5000 [2 per cell]  2 Ta 2.79, 10 Pt 2.79-2.83



Record 12
Here is Ta2Pt2Rh after structural relaxation from Alexandria via LeMat-Bulk. Energies are from PBE.

Summary:
Energy relative to the lowest polymorph listed for this composition: 0.0831 eV/atom

Lattice parameters (Å, degrees): 7.2269 7.2269 3.2630 90.00 90.00 90.00
Last column: nearest neighbours and their distance in Å.
Space group P4/mbm (No. 127)
Asymmetric unit:
Ta1 0.1723 0.3277 0.0000 [4 per cell]  6 Pt 2.58-2.75
Pt1 0.1317 0.6317 0.5000 [4 per cell]  6 Ta 2.58-2.75, 1 Pt 2.69, 2 Rh 2.83
Rh1 0.0000 0.0000 0.5000 [2 per cell]  4 Pt 2.83, 8 Ta 3.13



| no. | formation energy from the elements (meV per atom) | density (g cm⁻³) | DOS at the Fermi energy (states/eV/atom) |
| --- | --- | --- | --- |
| 1 | -389 | 17.71 | 0.9061 |
| 2 | -582 | 16.94 | 0.6411 |
| 3 | -499 | 15.63 | 1.0633 |
| 4 | -476 | 16.79 | 1.2700 |
| 5 | -441 | 16.74 | 1.0456 |
| 6 | -666 | 17.94 | 0.6674 |
| 7 | -494 | 16.62 | 0.8126 |
| 8 | -303 | 14.36 | 1.1759 |
| 9 | -130 | 16.08 | 0.4918 |
| 10 | -520 | 15.50 | 0.6962 |
| 11 | -501 | 18.87 | 0.8444 |
| 12 | -438 | 16.66 | 0.6349 |